Here is MgHgPb6 after structural relaxation from Alexandria via LeMat-Bulk. Energies are from PBE-GGA.

Computed properties:
The energy above the most stable polymorph in this dataset comes out at 0.043 eV/f.u. For the energy of formation from the pure elements, the calculation gives 6 meV per atom. The spin magnetization is 0.00 μB per cell.

a b c (Å): 4.8711 4.8711 9.9919
angles (deg): 90.00 90.00 90.00
Space group P4/mmm (No. 123)
Asymmetric unit:
Mg 0.0000 0.0000 0.0000
Hg 0.0000 0.0000 0.5000
Pb 0.0000 0.5000 0.2449
Pb 0.5000 0.5000 0.0000
Pb 0.5000 0.5000 0.5000

Here is Mg7HgPb2 after structural relaxation from Alexandria via LeMat-Bulk. Energies are from PBE-GGA.

Computed properties:
The energy above the most stable polymorph in this dataset comes out at 3.761 eV/f.u. For the energy of formation from the pure elements, the calculation gives 302 meV per atom. The spin magnetization is 0.00 μB per cell.

a b c (Å): 10.5379 10.5379 10.5379
angles (deg): 90.00 90.00 90.00
Space group Fm-3m (No. 225)
Asymmetric unit:
Mg 0.0000 0.0000 0.0000
Mg 0.0000 0.0000 0.2526
Hg 0.0000 0.0000 0.5000
Pb 0.2500 0.2500 0.2500

Here is Mg12Hg2Pb5 after structural relaxation from Alexandria via LeMat-Bulk. Energies are from PBE-GGA.

Computed properties:
For the energy of formation from the pure elements, the calculation gives 18 meV per atom. The spin magnetization is 0.00 μB per cell.

a b c (Å): 16.9477 6.4193 9.9843
angles (deg): 90.00 107.37 90.00
Space group C2/m (No. 12)
Asymmetric unit:
Mg 0.0094 0.0000 0.3514
Mg 0.0862 0.5000 0.8203
Mg 0.1634 0.2517 0.5757
Mg 0.1815 0.2589 0.0995
Hg 0.0000 0.2450 0.0000
Pb 0.0000 0.5000 0.5000
Pb 0.1585 0.0000 0.8363
Pb 0.1802 0.0000 0.3357

Here is Mg6HgPb5 after structural relaxation from Alexandria via LeMat-Bulk. Energies are from PBE-GGA.

Computed properties:
For the energy of formation from the pure elements, the calculation gives -70 meV per atom. The spin magnetization is 0.00 μB per cell.

a b c (Å): 5.2438 16.4784 7.0871
angles (deg): 90.00 90.00 90.00
Space group Cmmm (No. 65)
Asymmetric unit:
Mg 0.0000 0.0000 0.2337
Mg 0.0000 0.3428 0.2423
Hg 0.0000 0.5000 0.0000
Pb 0.0000 0.1691 0.5000
Pb 0.0000 0.1705 0.0000
Pb 0.0000 0.5000 0.5000

Here is Mg5Hg2Pb after structural relaxation from Alexandria via LeMat-Bulk. Energies are from PBE-GGA.

Computed properties:
For the energy of formation from the pure elements, the calculation gives -135 meV per atom. The spin magnetization is 0.00 μB per cell.

a b c (Å): 6.3400 12.4830 4.6621
angles (deg): 90.00 90.00 90.00
Space group Pbam (No. 55)
Asymmetric unit:
Mg 0.0000 0.0000 0.0000
Mg 0.1237 0.2585 0.0000
Mg 0.1756 0.6135 0.5000
Hg 0.1245 0.8497 0.5000
Pb 0.0000 0.5000 0.0000

Here is Mg2HgPb after structural relaxation from Alexandria via LeMat-Bulk. Energies are from PBE-GGA.

Computed properties:
The energy above the most stable polymorph in this dataset comes out at 0.372 eV/f.u. For the energy of formation from the pure elements, the calculation gives -52 meV per atom. The spin magnetization is 0.00 μB per cell.

a b c (Å): 3.5976 4.8401 5.7371
angles (deg): 90.00 90.00 90.00
Space group Pmmm (No. 47)
Asymmetric unit:
Mg 0.0000 0.0000 0.0000
Mg 0.5000 0.0000 0.5000
Hg 0.0000 0.5000 0.5000
Pb 0.5000 0.5000 0.0000

Here is Mg5Hg3Pb after structural relaxation from Alexandria via LeMat-Bulk. Energies are from PBE-GGA.

Computed properties:
For the energy of formation from the pure elements, the calculation gives -146 meV per atom. The spin magnetization is 0.00 μB per cell.

a b c (Å): 8.6497 8.6497 6.3737
angles (deg): 90.00 90.00 120.00
Space group P6_3/mcm (No. 193)
Asymmetric unit:
Mg 0.0000 0.3185 0.2500
Mg 0.3333 0.6667 0.0000
Hg 0.0000 0.3616 0.7500
Pb 0.0000 0.0000 0.0000

Here is Mg2HgPb after structural relaxation from Alexandria via LeMat-Bulk. Energies are from PBE-GGA.

Computed properties:
The energy above the most stable polymorph in this dataset comes out at 0.684 eV/f.u. For the energy of formation from the pure elements, the calculation gives 26 meV per atom. The spin magnetization is 0.00 μB per cell.

a b c (Å): 7.3801 7.3801 7.3801
angles (deg): 90.00 90.00 90.00
Space group F-43m (No. 216)
Asymmetric unit:
Mg 0.0000 0.0000 0.0000
Mg 0.2500 0.2500 0.2500
Hg 0.0000 0.0000 0.5000
Pb 0.2500 0.2500 0.7500

Here is Mg5HgPb after structural relaxation from Alexandria via LeMat-Bulk. Energies are from PBE-GGA.

Computed properties:
For the energy of formation from the pure elements, the calculation gives -40 meV per atom. The spin magnetization is 0.00 μB per cell.

a b c (Å): 10.1789 11.4750 6.3176
angles (deg): 90.00 111.44 90.00
Space group C2/c (No. 15)
Asymmetric unit:
Mg 0.0000 0.1245 0.2500
Mg 0.0124 0.3651 0.0118
Mg 0.2466 0.4920 0.8744
Hg 0.2500 0.2500 0.5000
Pb 0.0000 0.1395 0.7500

Here is Mg15Hg2Pb2 after structural relaxation from Alexandria via LeMat-Bulk. Energies are from PBE-GGA.

Computed properties:
For the energy of formation from the pure elements, the calculation gives -44 meV per atom. The spin magnetization is 0.00 μB per cell.

a b c (Å): 5.7839 7.6631 10.8234
angles (deg): 86.63 85.09 70.18
Space group P1 (No. 1)
Asymmetric unit:
Mg 0.0000 0.0000 0.0000
Mg 0.0107 0.1419 0.6284
Mg 0.0527 0.3469 0.1331
Mg 0.1165 0.7122 0.2184
Mg 0.1680 0.7610 0.4987
Mg 0.2239 0.5828 0.9408
Mg 0.2556 0.3509 0.3987
Mg 0.4117 0.3910 0.6640
Mg 0.4421 0.9841 0.2493
Mg 0.5547 0.3467 0.1340
Mg 0.5722 0.9558 0.5313
Mg 0.6465 0.7222 0.0414
Mg 0.6660 0.5753 0.3480
Mg 0.8226 0.4054 0.8586
Mg 0.8454 0.8190 0.7690
Hg 0.3512 0.8037 0.7488
Hg 0.8563 0.5357 0.5921
Pb 0.4431 0.1463 0.9114
Pb 0.8735 0.1200 0.3412

Here is Mg6HgPb3 after structural relaxation from Alexandria via LeMat-Bulk. Energies are from PBE-GGA.

Computed properties:
For the energy of formation from the pure elements, the calculation gives -70 meV per atom. The spin magnetization is 0.00 μB per cell.

a b c (Å): 8.9575 5.1843 11.3615
angles (deg): 90.00 111.04 90.00
Space group P2_1/m (No. 11)
Asymmetric unit:
Mg 0.0449 0.2500 0.4214
Mg 0.1903 0.7500 0.1772
Mg 0.2731 0.2500 0.0160
Mg 0.3468 0.2500 0.3250
Mg 0.3582 0.7500 0.8022
Mg 0.4359 0.2500 0.6373
Hg 0.4603 0.7500 0.0882
Pb 0.0193 0.7500 0.8828
Pb 0.1337 0.2500 0.7148
Pb 0.2878 0.7500 0.4833

Here is MgHgPb2 after structural relaxation from Alexandria via LeMat-Bulk. Energies are from PBE-GGA.

Computed properties:
For the energy of formation from the pure elements, the calculation gives -42 meV per atom. The spin magnetization is 0.00 μB per cell.

a b c (Å): 12.1924 3.5310 5.6072
angles (deg): 90.00 116.04 90.00
Space group Cm (No. 8)
Asymmetric unit:
Mg 0.0000 0.0000 0.0000
Hg 0.2882 0.0000 0.7479
Pb 0.0308 0.5000 0.5241
Pb 0.2511 0.5000 0.2154

Here is MgHgPb2 after structural relaxation from Alexandria via LeMat-Bulk. Energies are from PBE-GGA.

Computed properties:
For the energy of formation from the pure elements, the calculation gives -9 meV per atom. The spin magnetization is 0.00 μB per cell.

a b c (Å): 4.7099 4.7099 9.8058
angles (deg): 90.00 90.00 90.00
Space group I4/mmm (No. 139)
Asymmetric unit:
Mg 0.0000 0.0000 0.0000
Hg 0.0000 0.0000 0.5000
Pb 0.0000 0.5000 0.2500

Here is MgHg12Pb3 after structural relaxation from Alexandria via LeMat-Bulk. Energies are from PBE-GGA.

Computed properties:
For the energy of formation from the pure elements, the calculation gives 8 meV per atom. The spin magnetization is 0.00 μB per cell.

a b c (Å): 3.3497 21.9828 5.8968
angles (deg): 90.00 95.69 90.00
Space group P2/m (No. 10)
Asymmetric unit:
Mg 0.0000 0.0000 0.0000
Hg 0.0000 0.1278 0.5000
Hg 0.0000 0.3759 0.5000
Hg 0.5000 0.0000 0.5000
Hg 0.5000 0.1084 0.0000
Hg 0.5000 0.2517 0.5000
Hg 0.5000 0.3688 0.0000
Hg 0.5000 0.5000 0.5000
Pb 0.0000 0.2368 0.0000
Pb 0.0000 0.5000 0.0000

Here is Mg12Hg6Pb after structural relaxation from Alexandria via LeMat-Bulk. Energies are from PBE-GGA.

Computed properties:
For the energy of formation from the pure elements, the calculation gives -25 meV per atom. The spin magnetization is 0.00 μB per cell.

a b c (Å): 12.4846 12.4846 11.4889
angles (deg): 90.00 90.00 120.00
Space group R-3 (No. 148, hexagonal axes)
Asymmetric unit:
Mg 0.0462 0.8129 0.4149
Mg 0.0502 0.8063 0.9138
Hg 0.0447 0.8095 0.6670
Pb 0.0000 0.0000 0.0000

Here is MgHgPb2 after structural relaxation from Alexandria via LeMat-Bulk. Energies are from PBE-GGA.

Computed properties:
For the energy of formation from the pure elements, the calculation gives -32 meV per atom. The spin magnetization is 0.00 μB per cell.

a b c (Å): 11.3117 3.4747 5.7263
angles (deg): 90.00 105.53 90.00
Space group Cm (No. 8)
Asymmetric unit:
Mg 0.0000 0.0000 0.0000
Hg 0.2177 0.5000 0.2404
Pb 0.2469 0.0000 0.7665
Pb 0.4776 0.0000 0.4815

Here is Mg2HgPb after structural relaxation from Alexandria via LeMat-Bulk. Energies are from PBE-GGA.

Computed properties:
The energy above the most stable polymorph in this dataset comes out at 0.130 eV/f.u. For the energy of formation from the pure elements, the calculation gives -112 meV per atom. The spin magnetization is 0.00 μB per cell.

a b c (Å): 11.1131 3.4591 5.1183
angles (deg): 90.00 99.72 90.00
Space group Cm (No. 8)
Asymmetric unit:
Mg 0.0000 0.0000 0.0000
Mg 0.2450 0.0000 0.6680
Hg 0.0029 0.5000 0.5198
Pb 0.2465 0.5000 0.1713

Here is Mg3Hg2Pb after structural relaxation from Alexandria via LeMat-Bulk. Energies are from PBE-GGA.

Computed properties:
For the energy of formation from the pure elements, the calculation gives -171 meV per atom. The spin magnetization is 0.00 μB per cell.

a b c (Å): 3.4101 3.4101 11.8859
angles (deg): 90.00 90.00 90.00
Space group P4/mmm (No. 123)
Asymmetric unit:
Mg 0.0000 0.0000 0.0000
Mg 0.0000 0.0000 0.3086
Hg 0.5000 0.5000 0.1584
Pb 0.5000 0.5000 0.5000

Here is MgHg6Pb2 after structural relaxation from Alexandria via LeMat-Bulk. Energies are from PBE-GGA.

Computed properties:
For the energy of formation from the pure elements, the calculation gives 22 meV per atom. The spin magnetization is 0.00 μB per cell.

a b c (Å): 6.4120 6.4120 6.6582
angles (deg): 90.00 90.00 120.00
Space group P-3m1 (No. 164)
Asymmetric unit:
Mg 0.0000 0.0000 0.0000
Hg 0.1744 0.3487 0.3183
Pb 0.3333 0.6667 0.8609